No. 1
{"formula": "NaDyCO4", "functional": "GGA-PBE", "state": "optimized geometry", "lattice": [[5.492, 0.000, 0.000], [2.746, 5.291, -0.284], [2.746, 1.341, 5.126]], "species": ["Dy", "Dy", "C", "C", "O", "O", "O", "O", "O", "O", "O", "O", "Na", "Na"], "fractional_positions": [[0.000, 0.500, 0.500], [0.000, 0.000, 0.000], [0.632, 0.618, 0.118], [0.368, 0.382, 0.882], [0.282, 0.641, 0.795], [0.718, 0.705, 0.859], [0.265, 0.264, 0.764], [0.293, 0.736, 0.236], [0.707, 0.264, 0.764], [0.282, 0.295, 0.141], [0.735, 0.736, 0.236], [0.718, 0.359, 0.205], [0.000, 0.000, 0.500], [0.500, 0.000, 0.500]], "e_tot_ev_per_atom": -6.7545, "spacegroup": "Imma (74)", "formation_energy_uncorrected_ev_per_atom": -1.758}

---

No. 2
{"formula": "Na2DyPCO7", "functional": "GGA-PBE", "state": "optimized geometry", "lattice": [[-0.847, -6.581, -2.238], [-1.170, -1.480, 4.796], [-9.155, 1.734, -1.634]], "species": ["O", "O", "O", "O", "O", "O", "O", "O", "O", "O", "O", "O", "O", "O", "Na", "Na", "Na", "Na", "C", "C", "Dy", "Dy", "P", "P"], "fractional_positions": [[0.432, 0.816, 0.652], [0.750, 0.234, 0.578], [0.750, 0.544, 0.828], [0.068, 0.816, 0.652], [0.750, 0.972, 0.851], [0.250, 0.028, 0.149], [0.750, 0.717, 0.048], [0.250, 0.283, 0.952], [0.250, 0.399, 0.598], [0.250, 0.456, 0.172], [0.568, 0.184, 0.348], [0.250, 0.766, 0.422], [0.932, 0.184, 0.348], [0.750, 0.601, 0.402], [0.490, 0.244, 0.792], [0.010, 0.244, 0.792], [0.990, 0.756, 0.208], [0.510, 0.756, 0.208], [0.750, 0.745, 0.915], [0.250, 0.255, 0.085], [0.250, 0.219, 0.375], [0.750, 0.781, 0.625], [0.750, 0.299, 0.416], [0.250, 0.701, 0.584]], "e_tot_ev_per_atom": -7.0760, "spacegroup": "P2_1/m (11)", "formation_energy_uncorrected_ev_per_atom": -2.361}

---

No. 3
{"formula": "DyNbC2", "functional": "GGA-PBE", "state": "optimized geometry", "lattice": [[3.317, 0.000, 0.000], [1.658, 2.872, 0.000], [1.658, 0.957, 5.601]], "species": ["C", "C", "Dy", "Nb"], "fractional_positions": [[0.740, 0.740, 0.780], [0.260, 0.260, 0.220], [0.500, 0.500, 0.500], [0.000, 0.000, 0.000]], "formation_enthalpy_0k_ev_per_fu": -1.62, "e_tot_ev_per_atom": -8.6841, "spacegroup": "R-3m (166)"}

---

No. 4
{"formula": "DyNbC2", "functional": "GGA-PBE", "state": "optimized geometry", "lattice": [[3.505, 0.000, 0.000], [0.000, 5.751, 0.000], [0.000, 0.000, 11.132]], "species": ["C", "C", "C", "C", "C", "C", "C", "C", "Nb", "Nb", "Nb", "Nb", "Dy", "Dy", "Dy", "Dy"], "fractional_positions": [[0.250, 0.351, 0.252], [0.250, 0.274, 0.984], [0.250, 0.774, 0.516], [0.750, 0.226, 0.484], [0.250, 0.851, 0.248], [0.750, 0.726, 0.016], [0.750, 0.649, 0.748], [0.750, 0.149, 0.752], [0.250, 0.094, 0.394], [0.750, 0.906, 0.606], [0.750, 0.406, 0.894], [0.250, 0.594, 0.106], [0.250, 0.415, 0.640], [0.750, 0.085, 0.140], [0.250, 0.915, 0.860], [0.750, 0.585, 0.360]], "formation_enthalpy_0k_ev_per_fu": -1.50, "e_tot_ev_per_atom": -8.6542, "spacegroup": "Pnma (62)"}

---

No. 5
{"formula": "DyNb2C", "functional": "GGA-PBE", "state": "optimized geometry", "lattice": [[-2.722, 1.073, 1.244], [-0.463, -0.106, 3.144], [2.359, 8.109, 2.229]], "species": ["Dy", "Nb", "Nb", "C"], "fractional_positions": [[0.000, 0.000, 0.000], [0.880, 0.880, 0.360], [0.120, 0.120, 0.640], [0.500, 0.500, 0.500]], "formation_enthalpy_0k_ev_per_fu": 0.00, "e_tot_ev_per_atom": -8.4914, "spacegroup": "R-3m (166)"}

---

No. 6
{"formula": "DyNbC2", "functional": "GGA-PBE", "state": "optimized geometry", "lattice": [[3.280, 0.000, 0.000], [1.640, 2.840, 0.000], [1.640, 0.947, 5.843]], "species": ["Dy", "C", "C", "Nb"], "fractional_positions": [[0.496, 0.496, 0.513], [0.262, 0.262, 0.214], [0.073, 0.073, 0.782], [0.670, 0.670, 0.991]], "formation_enthalpy_0k_ev_per_fu": -0.61, "e_tot_ev_per_atom": -8.4324, "spacegroup": "R3m (160)"}

---

No. 7
{"formula": "DyNb2ReC4", "functional": "GGA-PBE", "state": "optimized geometry", "lattice": [[3.248, 0.000, 0.000], [-1.624, 5.697, 0.000], [0.000, 0.000, 11.242]], "species": ["C", "C", "C", "C", "C", "C", "C", "C", "Dy", "Dy", "Nb", "Nb", "Nb", "Nb", "Re", "Re"], "fractional_positions": [[0.736, 0.473, 0.884], [0.264, 0.527, 0.384], [0.000, 0.000, 0.500], [0.736, 0.473, 0.616], [0.000, 0.000, 0.000], [0.447, 0.893, 0.750], [0.553, 0.107, 0.250], [0.264, 0.527, 0.116], [0.890, 0.780, 0.250], [0.110, 0.220, 0.750], [0.629, 0.259, 0.466], [0.371, 0.741, 0.966], [0.629, 0.259, 0.034], [0.371, 0.741, 0.534], [0.154, 0.309, 0.250], [0.846, 0.691, 0.750]], "formation_enthalpy_0k_ev_per_fu": -1.65, "e_tot_ev_per_atom": -9.4674, "spacegroup": "Cmcm (63)"}

---

No. 8
{"formula": "Dy2Nb2Si2C", "functional": "GGA-PBE", "state": "optimized geometry", "lattice": [[-3.506, -0.413, 2.361], [0.329, -4.227, -0.251], [5.766, 2.278, 5.141]], "species": ["C", "Nb", "Nb", "Si", "Si", "Dy", "Dy"], "fractional_positions": [[0.000, 0.000, 0.000], [0.500, 0.000, 0.000], [0.000, 0.500, 0.000], [0.374, 0.374, 0.748], [0.626, 0.626, 0.252], [0.832, 0.832, 0.665], [0.168, 0.168, 0.335]], "e_tot_ev_per_atom": -7.6588, "spacegroup": "I4/mmm (139)", "formation_energy_uncorrected_ev_per_atom": -0.600}

---

No. 9
{"formula": "DyTa2NbC4", "functional": "GGA-PBE", "state": "optimized geometry", "lattice": [[-0.133, -2.979, -1.254], [3.711, -0.354, 4.620], [-8.922, -2.537, 6.972]], "species": ["C", "C", "C", "C", "C", "C", "C", "C", "Nb", "Nb", "Dy", "Dy", "Ta", "Ta", "Ta", "Ta"], "fractional_positions": [[0.525, 0.051, 0.250], [0.254, 0.507, 0.112], [0.475, 0.949, 0.750], [0.000, 0.000, 0.000], [0.746, 0.493, 0.888], [0.000, 0.000, 0.500], [0.746, 0.493, 0.612], [0.254, 0.507, 0.388], [0.135, 0.271, 0.250], [0.865, 0.729, 0.750], [0.864, 0.727, 0.250], [0.136, 0.273, 0.750], [0.631, 0.263, 0.028], [0.369, 0.737, 0.972], [0.631, 0.263, 0.472], [0.369, 0.737, 0.528]], "formation_enthalpy_0k_ev_per_fu": -2.02, "e_tot_ev_per_atom": -9.6613, "spacegroup": "Cmcm (63)"}

---

No. 10
{"formula": "DyNb2TcC4", "functional": "GGA-PBE", "state": "optimized geometry", "lattice": [[3.253, 0.000, 0.000], [-1.626, 5.661, 0.000], [0.000, 0.000, 11.201]], "species": ["C", "C", "C", "C", "C", "C", "C", "C", "Tc", "Tc", "Nb", "Nb", "Nb", "Nb", "Dy", "Dy"], "fractional_positions": [[0.263, 0.526, 0.385], [0.000, 0.000, 0.500], [0.737, 0.474, 0.885], [0.446, 0.892, 0.750], [0.737, 0.474, 0.615], [0.000, 0.000, 0.000], [0.554, 0.108, 0.250], [0.263, 0.526, 0.115], [0.847, 0.694, 0.750], [0.153, 0.306, 0.250], [0.370, 0.740, 0.535], [0.630, 0.260, 0.465], [0.630, 0.260, 0.035], [0.370, 0.740, 0.965], [0.112, 0.223, 0.750], [0.888, 0.777, 0.250]], "formation_enthalpy_0k_ev_per_fu": -1.70, "e_tot_ev_per_atom": -9.2131, "spacegroup": "Cmcm (63)"}

---

No. 11
{"formula": "Dy2UNbC4", "functional": "GGA-PBE", "state": "optimized geometry", "lattice": [[-0.558, -6.690, 1.576], [1.894, -1.693, -6.411], [3.995, 4.229, 3.871]], "species": ["Dy", "Dy", "Dy", "Dy", "C", "C", "C", "C", "C", "C", "C", "C", "Nb", "Nb", "U", "U"], "fractional_positions": [[0.500, 0.000, 0.000], [0.500, 0.500, 0.000], [0.000, 0.000, 0.500], [0.500, 0.000, 0.500], [0.240, 0.260, 0.477], [0.757, 0.288, 0.522], [0.240, 0.260, 0.023], [0.760, 0.740, 0.523], [0.243, 0.712, 0.478], [0.760, 0.740, 0.977], [0.212, 0.743, 0.978], [0.788, 0.257, 0.022], [0.500, 0.500, 0.500], [0.000, 0.000, 0.000], [0.000, 0.500, 0.500], [0.000, 0.500, 0.000]], "formation_enthalpy_0k_ev_per_fu": -2.94, "e_tot_ev_per_atom": -8.7995, "spacegroup": "Imma (74)"}

---

No. 12
{"formula": "Nd3DyC", "functional": "GGA-PBE", "state": "optimized geometry", "lattice": [[5.234, 0.000, 0.000], [0.000, 5.234, 0.000], [0.000, 0.000, 5.234]], "species": ["Nd", "Nd", "Nd", "C", "Dy"], "fractional_positions": [[0.000, 0.000, 0.500], [0.000, 0.500, 0.000], [0.500, 0.000, 0.000], [0.000, 0.000, 0.000], [0.500, 0.500, 0.500]], "formation_enthalpy_0k_ev_per_fu": 0.51, "e_tot_ev_per_atom": -5.5234, "spacegroup": "Pm-3m (221)"}

---

> Which formula does entry 7 have?

DyNb2ReC4

---

Copy entry 3 word for word.
{"formula": "DyNbC2", "functional": "GGA-PBE", "state": "optimized geometry", "lattice": [[3.317, 0.000, 0.000], [1.658, 2.872, 0.000], [1.658, 0.957, 5.601]], "species": ["C", "C", "Dy", "Nb"], "fractional_positions": [[0.740, 0.740, 0.780], [0.260, 0.260, 0.220], [0.500, 0.500, 0.500], [0.000, 0.000, 0.000]], "formation_enthalpy_0k_ev_per_fu": -1.62, "e_tot_ev_per_atom": -8.6841, "spacegroup": "R-3m (166)"}